# Cs3BBr6 (GGA-PBE, relaxed)
data_Cs3BBr6
_chemical_formula_sum 'Cs12 B4 Br24'
_cell_length_a 15.657
_cell_length_b 12.533
_cell_length_c 9.104
_cell_angle_alpha 90.00
_cell_angle_beta 90.00
_cell_angle_gamma 90.00
_space_group_name_H-M_alt 'C m c 21'
_space_group_IT_number 36
_space_group_name_Hall 'C 2c -2'
loop_
_atom_site_label
_atom_site_fract_x
_atom_site_fract_y
_atom_site_fract_z
Cs1 0.000 0.008 0.000
Cs2 0.201 0.379 0.582
B1 0.000 0.297 0.214
Br1 0.000 0.308 0.994
Br2 0.000 0.443 0.310
Br3 0.105 0.213 0.283
Br4 0.174 0.099 0.741
# - Formation energy (no corrections): -1263 meV per atom
# - Calculated volume: 44.662 Å³/atom
# - Density of states at the Fermi level: 0.00 states/eV per atom
# - E: -31.9 eV per formula unit